(a)
Here is a geometry-optimized RbTl3Pt3 structure from the Alexandria database. Energies are from PBE.

a b c (Å): 10.3882 10.3882 10.3882
angles (deg): 39.08 39.08 39.08
Closest atoms and distances in Å follow each position.
Atoms (fractional coordinates):
Rb 0.1992 0.1992 0.1992  9 Tl 3.60-4.02, 3 Pt 3.73
Rb 0.8008 0.8008 0.8008  9 Tl 3.60-4.02, 3 Pt 3.73
Tl 0.2111 0.7499 0.2780  3 Pt 2.82-3.07
Tl 0.2501 0.7220 0.7889  3 Pt 2.82-3.07
Tl 0.2780 0.2111 0.7499  3 Pt 2.82-3.07
Tl 0.7220 0.7889 0.2501  3 Pt 2.82-3.07
Tl 0.7499 0.2780 0.2111  3 Pt 2.82-3.07
Tl 0.7889 0.2501 0.7220  3 Pt 2.82-3.07
Pt 0.1259 0.5633 0.2626  5 Pt 2.69-2.85, 2 Tl 2.82-2.87
Pt 0.2626 0.1259 0.5633  5 Pt 2.69-2.85, 2 Tl 2.82-2.87
Pt 0.4367 0.7374 0.8741  5 Pt 2.69-2.85, 2 Tl 2.82-2.87
Pt 0.5633 0.2626 0.1259  5 Pt 2.69-2.85, 2 Tl 2.82-2.87
Pt 0.7374 0.8741 0.4367  5 Pt 2.69-2.85, 2 Tl 2.82-2.87
Pt 0.8741 0.4367 0.7374  5 Pt 2.69-2.85, 2 Tl 2.82-2.87

## Properties
Its space group is R-3. Its crystal system is trigonal.

(b)
Here is a geometry-optimized RbTl3Pt3 structure from the Alexandria database. Energies are from PBE.

a b c (Å): 7.6723 7.6723 7.6723
angles (deg): 90.00 90.00 90.00
Closest atoms and distances in Å follow each position.
Atoms (fractional coordinates):
Rb 0.0000 0.0000 0.0000  12 Tl 4.29, 12 Pt 4.29
Rb 0.5000 0.5000 0.5000  12 Tl 4.29, 12 Pt 4.29
Tl 0.0000 0.2500 0.5000  4 Pt 2.71
Tl 0.0000 0.7500 0.5000  4 Pt 2.71
Tl 0.2500 0.5000 0.0000  4 Pt 2.71
Tl 0.5000 0.0000 0.2500  4 Pt 2.71
Tl 0.5000 0.0000 0.7500  4 Pt 2.71
Tl 0.7500 0.5000 0.0000  4 Pt 2.71
Pt 0.0000 0.5000 0.2500  4 Tl 2.71
Pt 0.0000 0.5000 0.7500  4 Tl 2.71
Pt 0.2500 0.0000 0.5000  4 Tl 2.71
Pt 0.5000 0.2500 0.0000  4 Tl 2.71
Pt 0.5000 0.7500 0.0000  4 Tl 2.71
Pt 0.7500 0.0000 0.5000  4 Tl 2.71

## Properties
Its space group is Pm-3n. Its crystal system is cubic.

(a) is favored, and the nearest alternative lies 16.8 kJ/mol of atoms above it.